# 1
SrBeGePt, relaxed, DFT GGA-PBE; volume = 71.7 Å³/cell; electronic total energy = -4.12 eV per atom
1.0
0.0000 3.2974 3.2974
3.2974 0.0000 3.2974
3.2974 3.2974 0.0000
Sr Ge Be Pt
1 1 1 1
Direct
0.0000 0.0000 0.0000
0.2500 0.2500 0.2500
0.7500 0.7500 0.7500
0.5000 0.5000 0.5000


# 2
SrBeGePt, relaxed, DFT GGA-PBE; volume = 77.6 Å³/cell; electronic total energy = -3.92 eV per atom
1.0
0.0000 3.3853 3.3853
3.3853 0.0000 3.3853
3.3853 3.3853 0.0000
Be Ge Pt Sr
1 1 1 1
Direct
0.7500 0.7500 0.7500
0.0000 0.0000 0.0000
0.5000 0.5000 0.5000
0.2500 0.2500 0.2500


Question: What is the volume in the second record?
Answer: 77.6 Å³/cell